[1]
Density functional theory data (GGA-PBE) for a geometry-optimized Nd2Ir2S structure.

Lattice parameters (Å, degrees): 5.5308 5.5308 7.3358 90.00 90.00 90.00
Last column: nearest neighbours and their distance in Å.
Space group I4/mmm (No. 139)
One atom of each set of equivalent atoms:
Nd  0.0000  0.5000  0.0000  2 S 2.77, 4 Ir 3.07
Ir  0.0000  0.0000  0.1813  1 S 2.34
S  0.0000  0.0000  0.5000  2 Ir 2.34

[2]
Density functional theory data (GGA-PBE) for a geometry-optimized NdSbIr structure.

Lattice parameters (Å, degrees): 7.1020 7.1020 4.5786 90.00 90.00 120.00
Last column: nearest neighbours and their distance in Å.
Space group P-62m (No. 189)
One atom of each set of equivalent atoms:
Nd  0.0000  0.5683  0.0000  5 Sb 3.07-3.11, 2 Ir 3.30
Sb  0.0000  0.0000  0.0000  6 Ir 2.83, 3 Nd 3.07
Sb  0.3333  0.6667  0.5000  3 Ir 2.79, 6 Nd 3.11
Ir  0.0000  0.2337  0.5000  4 Sb 2.79-2.83, 2 Ir 2.88

[3]
Density functional theory data (GGA-PBE) for a geometry-optimized NdSbIr structure.

Lattice parameters (Å, degrees): 4.1557 5.9169 6.9457 101.55 90.05 110.43
Last column: nearest neighbours and their distance in Å.
Space group P1 (No. 1)
One atom of each set of equivalent atoms:
Nd  0.0000  0.0000  0.0000  5 Ir 3.01-3.22, 2 Sb 3.30
Nd  0.3096  0.6199  0.3622  5 Ir 3.01-3.22, 2 Sb 3.31
Sb  0.0408  0.0825  0.5274  2 Ir 2.69, 1 Sb 2.94
Sb  0.2701  0.5388  0.8352  2 Ir 2.69-2.70, 1 Sb 2.94
Ir  0.5907  0.1837  0.3107  1 Ir 2.50, 2 Sb 2.69
Ir  0.7183  0.4356  0.0514  1 Ir 2.50, 2 Sb 2.69-2.70

no.,total moment (μB per formula unit),uncorrected energy (eV per formula unit)
1,0.00,-35.142
2,0.00,-19.947
3,0.00,-19.622